Entry 1:
Density functional theory data (PBE-GGA) for a geometry-optimized Sm4Ho5 structure.

For the distance to the lowest polymorph of the same formula, the calculation gives 0 kJ/mol of formula units. The calculated formation energy is 18.3 meV per atom.

The structure belongs to space group I4/mmm (No. 139); the cell edges are 10.715, 10.715 and 5.038 Å and the angles 90.00°, 90.00° and 90.00°. The inequivalent atoms are Sm at (0.167, 0.167, 0.000), Ho at (0.000, 0.000, 0.500) and Ho at (0.000, 0.334, 0.500).

Entry 2:
Density functional theory data (PBE-GGA) for a geometry-optimized TlReSb3 structure.

For the distance to the lowest polymorph of the same formula, the calculation gives 704 kJ/mol of formula units. As for the uncorrected formation energy: 2.009 eV per atom.

The structure belongs to space group Pm-3m (No. 221); the cell edges are 5.594, 5.594 and 5.594 Å and the angles 90.00°, 90.00° and 90.00°. The inequivalent atoms are Tl at (0.000, 0.000, 0.000), Re at (0.500, 0.500, 0.500) and Sb at (0.000, 0.000, 0.500).

Entry 3:
Density functional theory data (PBE-GGA) for a geometry-optimized Pr2MgPa structure.

For the distance to the lowest polymorph of the same formula, the calculation gives 0 kJ/mol of formula units. The calculated formation energy is 102.0 meV per atom.

The structure belongs to space group P4/mmm (No. 123); the cell edges are 3.432, 3.432 and 10.071 Å and the angles 90.00°, 90.00° and 90.00°. The inequivalent atoms are Pr at (0.000, 0.000, 0.247), Mg at (0.500, 0.500, 0.500) and Pa at (0.500, 0.500, 0.000).

Entry 4:
Density functional theory data (PBE-GGA) for a geometry-optimized Li2Cu4Rh structure.

For the distance to the lowest polymorph of the same formula, the calculation gives 0 kJ/mol of formula units. The calculated formation energy is 24.9 meV per atom.

The structure belongs to space group Cmmm (No. 65); the cell edges are 7.700, 8.435 and 2.937 Å and the angles 90.00°, 90.00° and 90.00°. The inequivalent atoms are Li at (0.210, 0.000, 0.000), Cu at (0.000, 0.254, 0.000), Cu at (0.250, 0.250, 0.500) and Rh at (0.000, 0.500, 0.500).

Entry 5:
Density functional theory data (PBE-GGA) for a geometry-optimized Zr4Cd10In structure.

The calculated formation energy is -62.6 meV per atom.

The structure belongs to space group C2/m (No. 12); the cell edges are 7.969, 8.567 and 10.283 Å and the angles 90.00°, 110.61° and 90.00°. The inequivalent atoms are Zr at (0.097, 0.000, 0.299), Zr at (0.202, 0.500, 0.097), Cd at (0.000, 0.164, 0.000), Cd at (0.102, 0.332, 0.805), Cd at (0.199, 0.167, 0.602) and In at (0.000, 0.500, 0.500).

Entry 6:
Density functional theory data (PBE-GGA) for a geometry-optimized NaLa3Fe structure.

The calculated formation energy is 84.0 meV per atom.

The structure belongs to space group Pm-3m (No. 221); the cell edges are 5.457, 5.457 and 5.457 Å and the angles 90.00°, 90.00° and 90.00°. The inequivalent atoms are Na at (0.000, 0.000, 0.000), La at (0.000, 0.500, 0.500) and Fe at (0.500, 0.500, 0.500).

Entry 7:
Density functional theory data (PBE-GGA) for a geometry-optimized CeSm2UN4 structure.

As for the uncorrected formation energy: -1.464 eV per atom.

The structure belongs to space group I-4m2 (No. 119); the cell edges are 5.020, 5.020 and 9.940 Å and the angles 90.00°, 90.00° and 90.00°. The inequivalent atoms are Ce at (0.000, 0.000, 0.000), Sm at (0.000, 0.000, 0.500), Sm at (0.000, 0.500, 0.250), U at (0.000, 0.500, 0.750), N at (0.000, 0.000, 0.246) and N at (0.000, 0.500, 0.525).

Entry 8:
Density functional theory data (PBE-GGA) for a geometry-optimized HoZnAs2O8 structure.

As for the uncorrected formation energy: -1.604 eV per atom.

The structure belongs to space group I-4m2 (No. 119); the cell edges are 7.009, 7.009 and 6.318 Å and the angles 90.00°, 90.00° and 90.00°. The inequivalent atoms are Ho at (0.000, 0.000, 0.000), Zn at (0.000, 0.500, 0.750), As at (0.000, 0.000, 0.500), As at (0.000, 0.500, 0.250), O at (0.000, 0.187, 0.679) and O at (0.000, 0.315, 0.073).